{"formula": "HoLuBi", "functional": "PBE", "state": "relaxed", "cell": [[3.989, 0.000, 0.000], [0.000, 3.989, 0.000], [-1.995, -1.995, 5.389]], "species": ["Ho", "Lu", "Bi"], "frac_coords": [[0.958, 0.958, 0.915], [0.274, 0.274, 0.548], [0.618, 0.618, 0.237]], "space_group": "I4mm (107)", "relative_energy_mev_per_atom": 0}